Record 1
Entry from the Alexandria database: a geometry-optimized CaHfOF2 structure (PBE-GGA).

energy above the most stable polymorph in this dataset = 688 meV/atom

abc: 4.1443 4.1443 4.7421
angles: 90.00 90.00 90.00
With the nearest neighbours (Å) after each atom.
Space group P4/mmm (No. 123)
Inequivalent atoms, fractional coordinates:
Ca  0.0000  0.0000  0.0000 (multiplicity 1)  4 F 2.07
Hf  0.5000  0.5000  0.5000 (multiplicity 1)  4 O 2.93, 8 F 3.15
O  0.0000  0.0000  0.5000 (multiplicity 1)  2 Ca 2.37
F  0.0000  0.5000  0.0000 (multiplicity 2)  2 Ca 2.07

Record 2
Entry from the Alexandria database: a geometry-optimized RbCaHf2F structure (PBE-GGA).

abc: 5.7865 5.7865 4.6614
angles: 90.00 90.00 90.00
With the nearest neighbours (Å) after each atom.
Space group P4/mmm (No. 123)
Inequivalent atoms, fractional coordinates:
Rb  0.0000  0.0000  0.0000 (multiplicity 1)  2 F 2.33
Ca  0.5000  0.5000  0.5000 (multiplicity 1)  8 Hf 3.72, 4 F 4.09
Hf  0.0000  0.5000  0.0000 (multiplicity 2)  2 Rb 2.89
F  0.0000  0.0000  0.5000 (multiplicity 1)  2 Rb 2.33

Record 3
Entry from the Alexandria database: a geometry-optimized RbCaHfF7 structure (PBE-GGA).

abc: 6.9384 11.2801 8.5949
angles: 90.00 90.00 90.00
With the nearest neighbours (Å) after each atom.
Space group Cmcm (No. 63)
Inequivalent atoms, fractional coordinates:
Rb  0.0000  0.0000  0.0000 (multiplicity 4)  8 F 3.01-3.06
Ca  0.0000  0.3105  0.2500 (multiplicity 4)  7 F 2.28-2.38
Hf  0.0000  0.3059  0.7500 (multiplicity 4)  7 F 2.02-2.11
F  0.0000  0.2987  0.5154 (multiplicity 8)  1 Hf 2.02
F  0.0000  0.4871  0.7500 (multiplicity 4)  1 Hf 2.04, 1 Ca 2.28
F  0.1740  0.1530  0.7500 (multiplicity 8)  1 Hf 2.11, 1 Ca 2.30
F  0.2089  0.1435  0.2500 (multiplicity 8)  1 Hf 2.10

no.,density of states at the Fermi level (states/eV/atom),uncorrected energy (eV per atom)
1,0.7185,-5.95
2,1.3071,-3.84
3,0.0000,-6.34